An optimized crystal structure of InHgMo2O8, computed with PBE with a Hubbard U.

Cell: 5.655 5.655 7.676 Å, 92.05 92.05 64.90°
Fractional positions:
1 In 0.000 0.000 0.000
2 Hg 0.000 0.000 0.500
3 Mo 0.350 0.350 0.778
4 Mo 0.650 0.650 0.222
5 O 0.210 0.706 0.802
6 O 0.219 0.219 0.938
7 O 0.268 0.268 0.568
8 O 0.294 0.790 0.198
9 O 0.706 0.210 0.802
10 O 0.732 0.732 0.432
11 O 0.781 0.781 0.062
12 O 0.790 0.294 0.198

Values from the calculation:
Space-group type ... C2/m, No. 12
V ... 18.506 Å³ per atom
Fermi-level density of states ... 3.2 states/eV/cell
Total moment ... 0.8 μB per cell
Final energy ... -73.0 eV per cell